[1]
Material: YNpTlO6
Method: DFT, PBE-GGA
State: optimized geometry

Cell lengths 5.610, 5.610, 9.920 Å; angles 90.00, 90.00, 120.00 degrees
Sites, in units of the cell vectors:
Y 0.000 0.000 0.000
Y 0.000 0.000 0.500
Np 0.333 0.667 0.250
Np 0.667 0.333 0.750
Tl 0.333 0.667 0.750
Tl 0.667 0.333 0.250
O 0.029 0.354 0.132
O 0.029 0.675 0.368
O 0.325 0.354 0.368
O 0.325 0.971 0.132
O 0.354 0.029 0.632
O 0.354 0.325 0.868
O 0.646 0.675 0.132
O 0.646 0.971 0.368
O 0.675 0.029 0.868
O 0.675 0.646 0.632
O 0.971 0.325 0.632
O 0.971 0.646 0.868

The volume comes out at 15.02 A^3/atom. For the density of states at the Fermi level, the calculation gives 1.19 states/eV per cell. Its total energy is -145.211 eV for the cell shown.

[2]
Material: NpTlZnO6
Method: DFT, PBE-GGA
State: optimized geometry

Cell lengths 5.397, 5.397, 9.735 Å; angles 90.00, 90.00, 120.00 degrees
Sites, in units of the cell vectors:
Np 0.333 0.667 0.250
Np 0.667 0.333 0.750
Tl 0.000 0.000 0.000
Tl 0.000 0.000 0.500
Zn 0.333 0.667 0.750
Zn 0.667 0.333 0.250
O 0.014 0.356 0.136
O 0.014 0.657 0.364
O 0.343 0.356 0.364
O 0.343 0.986 0.136
O 0.356 0.014 0.636
O 0.356 0.343 0.864
O 0.644 0.657 0.136
O 0.644 0.986 0.364
O 0.657 0.014 0.864
O 0.657 0.644 0.636
O 0.986 0.343 0.636
O 0.986 0.644 0.864

The volume comes out at 13.64 A^3/atom. Its total energy is -122.729 eV for the cell shown.

[3]
Material: NpTl2ZnO8
Method: DFT, PBE-GGA
State: optimized geometry

Cell lengths 5.132, 5.139, 6.733 Å; angles 86.38, 86.36, 85.40 degrees
Sites, in units of the cell vectors:
Np 0.000 0.000 0.000
Tl 0.463 0.463 0.263
Tl 0.537 0.537 0.737
Zn 0.000 0.000 0.500
O 0.158 0.157 0.250
O 0.191 0.189 0.803
O 0.289 0.709 0.500
O 0.300 0.698 0.000
O 0.700 0.302 0.000
O 0.711 0.291 0.500
O 0.809 0.811 0.197
O 0.842 0.843 0.750

The volume comes out at 14.70 A^3/atom. For the density of states at the Fermi level, the calculation gives 8.68 states/eV per cell. Its total energy is -74.236 eV for the cell shown.

[4]
Material: NpTl3Zn2O6
Method: DFT, PBE-GGA
State: optimized geometry

Cell lengths 5.582, 5.582, 7.235 Å; angles 97.36, 97.36, 120.08 degrees
Sites, in units of the cell vectors:
Np 0.000 0.000 0.000
Tl 0.168 0.832 0.500
Tl 0.500 0.500 0.500
Tl 0.832 0.168 0.500
Zn 0.333 0.667 0.000
Zn 0.667 0.333 0.000
O 0.053 0.375 0.157
O 0.269 0.269 0.842
O 0.375 0.053 0.157
O 0.625 0.947 0.843
O 0.731 0.731 0.158
O 0.947 0.625 0.843

The volume comes out at 15.72 A^3/atom. For the density of states at the Fermi level, the calculation gives 0.93 states/eV per cell. Its total energy is -69.756 eV for the cell shown.

[5]
Material: NpTl2ZnO6
Method: DFT, PBE-GGA
State: optimized geometry

Cell lengths 5.889, 5.889, 5.880 Å; angles 119.93, 119.93, 59.89 degrees
Sites, in units of the cell vectors:
Np 0.000 0.000 0.000
Tl 0.250 0.250 0.750
Tl 0.750 0.750 0.250
Zn 0.500 0.500 0.500
O 0.240 0.753 0.240
O 0.245 0.245 0.251
O 0.247 0.760 0.760
O 0.753 0.240 0.240
O 0.755 0.755 0.749
O 0.760 0.247 0.760

The volume comes out at 14.42 A^3/atom. For the density of states at the Fermi level, the calculation gives 3.61 states/eV per cell. Its total energy is -64.401 eV for the cell shown.

[6]
Material: NpTl2Zn2O6
Method: DFT, PBE-GGA
State: optimized geometry

Cell lengths 6.775, 6.775, 6.775 Å; angles 53.87, 53.87, 53.87 degrees
Sites, in units of the cell vectors:
Np 0.000 0.000 0.000
Tl 0.208 0.208 0.208
Tl 0.792 0.792 0.792
Zn 0.402 0.402 0.402
Zn 0.598 0.598 0.598
O 0.229 0.229 0.762
O 0.229 0.762 0.229
O 0.238 0.771 0.771
O 0.762 0.229 0.229
O 0.771 0.238 0.771
O 0.771 0.771 0.238

The volume comes out at 17.13 A^3/atom. Its total energy is -68.051 eV for the cell shown.

[7]
Material: ZrNpTlO6
Method: DFT, PBE-GGA
State: optimized geometry

Cell lengths 7.799, 7.799, 7.799 Å; angles 121.18, 118.33, 90.44 degrees
Sites, in units of the cell vectors:
Zr 0.500 0.000 0.000
Zr 0.500 0.500 0.500
Np 0.000 0.000 0.000
Np 0.500 0.000 0.500
Tl 0.197 0.447 0.750
Tl 0.803 0.553 0.250
O 0.180 0.303 0.245
O 0.180 0.935 0.878
O 0.189 0.939 0.250
O 0.429 0.679 0.750
O 0.443 0.065 0.745
O 0.443 0.697 0.378
O 0.557 0.303 0.622
O 0.557 0.935 0.255
O 0.571 0.321 0.250
O 0.811 0.061 0.750
O 0.820 0.065 0.122
O 0.820 0.697 0.755

The volume comes out at 18.69 A^3/atom. Its total energy is -151.439 eV for the cell shown.

[8]
Material: ZrNpTl2O6
Method: DFT, PBE-GGA
State: optimized geometry

Cell lengths 6.017, 6.017, 6.017 Å; angles 60.00, 60.00, 60.00 degrees
Sites, in units of the cell vectors:
Zr 0.000 0.000 0.000
Np 0.500 0.500 0.500
Tl 0.250 0.250 0.250
Tl 0.750 0.750 0.750
O 0.253 0.253 0.747
O 0.253 0.747 0.253
O 0.253 0.747 0.747
O 0.747 0.253 0.253
O 0.747 0.253 0.747
O 0.747 0.747 0.253

The volume comes out at 15.41 A^3/atom. Its total energy is -78.977 eV for the cell shown.

[9]
Material: TmNp2O6
Method: DFT, PBE-GGA
State: optimized geometry

Cell lengths 3.809, 3.809, 9.090 Å; angles 90.00, 90.00, 120.00 degrees
Sites, in units of the cell vectors:
Tm 0.000 0.000 0.000
Np 0.333 0.667 0.671
Np 0.667 0.333 0.329
O 0.000 0.000 0.259
O 0.000 0.000 0.741
O 0.333 0.667 0.418
O 0.333 0.667 0.908
O 0.667 0.333 0.092
O 0.667 0.333 0.582

The volume comes out at 12.69 A^3/atom. For the density of states at the Fermi level, the calculation gives 13.75 states/eV per cell. Its total energy is -89.196 eV for the cell shown.

[10]
Material: Tm3NpO8
Method: DFT, PBE-GGA
State: optimized geometry

Cell lengths 5.258, 5.258, 5.258 Å; angles 90.00, 90.00, 90.00 degrees
Sites, in units of the cell vectors:
Tm 0.000 0.000 0.500
Tm 0.000 0.500 0.000
Tm 0.500 0.000 0.000
Np 0.500 0.500 0.500
O 0.260 0.260 0.260
O 0.260 0.260 0.740
O 0.260 0.740 0.260
O 0.260 0.740 0.740
O 0.740 0.260 0.260
O 0.740 0.260 0.740
O 0.740 0.740 0.260
O 0.740 0.740 0.740

The volume comes out at 12.12 A^3/atom. Its total energy is -105.006 eV for the cell shown.

[11]
Material: Tm4NpO10
Method: DFT, PBE-GGA
State: optimized geometry

Cell lengths 6.479, 6.479, 6.479 Å; angles 99.40, 99.40, 132.32 degrees
Sites, in units of the cell vectors:
Tm 0.098 0.302 0.400
Tm 0.302 0.902 0.203
Tm 0.698 0.098 0.797
Tm 0.902 0.698 0.600
Np 0.500 0.500 0.000
O 0.073 0.163 0.713
O 0.163 0.450 0.090
O 0.250 0.750 0.500
O 0.359 0.073 0.910
O 0.450 0.359 0.287
O 0.550 0.641 0.713
O 0.641 0.927 0.090
O 0.750 0.250 0.500
O 0.837 0.550 0.910
O 0.927 0.837 0.287

The volume comes out at 12.26 A^3/atom. For the density of states at the Fermi level, the calculation gives 6.73 states/eV per cell. Its total energy is -127.970 eV for the cell shown.

[12]
Material: Tm2NpO6
Method: DFT, PBE-GGA
State: optimized geometry

Cell lengths 5.033, 5.033, 10.250 Å; angles 90.00, 90.00, 90.00 degrees
Sites, in units of the cell vectors:
Tm 0.000 0.000 0.166
Tm 0.000 0.000 0.834
Tm 0.500 0.500 0.334
Tm 0.500 0.500 0.666
Np 0.000 0.000 0.500
Np 0.500 0.500 0.000
O 0.187 0.187 0.343
O 0.187 0.187 0.657
O 0.206 0.206 0.000
O 0.294 0.706 0.500
O 0.313 0.687 0.157
O 0.313 0.687 0.843
O 0.687 0.313 0.157
O 0.687 0.313 0.843
O 0.706 0.294 0.500
O 0.794 0.794 0.000
O 0.813 0.813 0.343
O 0.813 0.813 0.657

The volume comes out at 14.43 A^3/atom. Its total energy is -162.923 eV for the cell shown.

[13]
Material: TmNp2O11
Method: DFT, PBE-GGA
State: optimized geometry

Cell lengths 8.111, 8.118, 8.323 Å; angles 70.39, 69.54, 86.31 degrees
Sites, in units of the cell vectors:
Tm 0.000 0.000 0.000
Tm 0.354 0.643 0.502
Np 0.333 0.154 0.475
Np 0.495 0.024 0.018
Np 0.847 0.670 0.516
Np 0.960 0.506 0.981
O 0.093 0.701 0.460
O 0.100 0.232 0.348
O 0.176 0.131 0.713
O 0.186 0.526 0.796
O 0.251 0.978 0.056
O 0.310 0.908 0.537
O 0.368 0.398 0.433
O 0.455 0.172 0.230
O 0.482 0.811 0.211
O 0.497 0.234 0.847
O 0.603 0.626 0.560
O 0.603 0.966 0.684
O 0.615 0.083 0.519
O 0.732 0.499 0.124
O 0.744 0.048 0.959
O 0.747 0.870 0.685
O 0.839 0.518 0.746
O 0.864 0.841 0.290
O 0.940 0.471 0.331
O 0.957 0.256 0.043
O 0.980 0.318 0.443
O 0.992 0.750 0.946

The volume comes out at 17.24 A^3/atom. Its total energy is -229.426 eV for the cell shown.

[14]
Material: TmNp2O7
Method: DFT, PBE-GGA
State: optimized geometry

Cell lengths 10.338, 10.338, 10.338 Å; angles 21.18, 21.18, 21.18 degrees
Sites, in units of the cell vectors:
Tm 0.000 0.000 0.000
Np 0.432 0.432 0.432
Np 0.568 0.568 0.568
O 0.076 0.076 0.076
O 0.220 0.220 0.220
O 0.361 0.361 0.361
O 0.500 0.500 0.500
O 0.639 0.639 0.639
O 0.780 0.780 0.780
O 0.924 0.924 0.924

The volume comes out at 12.63 A^3/atom. For the density of states at the Fermi level, the calculation gives 10.95 states/eV per cell. Its total energy is -95.161 eV for the cell shown.

[15]
Material: TmNpUO6
Method: DFT, PBE-GGA
State: optimized geometry

Cell lengths 5.730, 5.730, 9.431 Å; angles 90.00, 90.00, 120.00 degrees
Sites, in units of the cell vectors:
Tm 0.333 0.667 0.250
Tm 0.667 0.333 0.750
Np 0.000 0.000 0.000
Np 0.000 0.000 0.500
U 0.333 0.667 0.750
U 0.667 0.333 0.250
O 0.012 0.343 0.632
O 0.012 0.669 0.868
O 0.331 0.343 0.868
O 0.331 0.988 0.632
O 0.343 0.012 0.132
O 0.343 0.331 0.368
O 0.657 0.669 0.632
O 0.657 0.988 0.868
O 0.669 0.012 0.368
O 0.669 0.657 0.132
O 0.988 0.331 0.132
O 0.988 0.657 0.368

The volume comes out at 14.90 A^3/atom. For the density of states at the Fermi level, the calculation gives 28.94 states/eV per cell. Its total energy is -174.364 eV for the cell shown.